Entry 1:
Entry from OQMD: AcCdPd2 after structural relaxation (PBE).

energy relative to the elements: -16.14 kcal/mol of atoms
E: -0.3335 Ry per atom

abc: 7.857 4.446 10.821
angles: 90.00 90.00 90.00
Space group Pnma (No. 62)
Inequivalent atoms, fractional coordinates:
Ac1 0.163 0.250 0.151 (multiplicity 4)
Cd1 0.034 0.750 0.402 (multiplicity 4)
Pd1 0.118 0.250 0.827 (multiplicity 4)
Pd2 0.242 0.750 0.948 (multiplicity 4)

Entry 2:
Entry from OQMD: ScTa2Te after structural relaxation (PBE).

E: -0.5995 Ry per atom

abc: 6.795 6.795 6.795
angles: 90.00 90.00 90.00
Space group F-43m (No. 216)
Inequivalent atoms, fractional coordinates:
Sc1 0.000 0.000 0.000 (multiplicity 4)
Ta1 0.000 0.000 0.500 (multiplicity 4)
Ta2 0.250 0.250 0.750 (multiplicity 4)
Te1 0.250 0.250 0.250 (multiplicity 4)

Entry 3:
Entry from OQMD: KPaSb after structural relaxation (PBE).

E: -0.2813 Ry per atom

abc: 7.372 7.372 7.372
angles: 90.00 90.00 90.00
Space group F-43m (No. 216)
Inequivalent atoms, fractional coordinates:
K1 0.000 0.000 0.000 (multiplicity 4)
Pa1 0.250 0.250 0.750 (multiplicity 4)
Sb1 0.250 0.250 0.250 (multiplicity 4)

Copy entry 3 word for word.
Entry from OQMD: KPaSb after structural relaxation (PBE).

E: -0.2813 Ry per atom

abc: 7.372 7.372 7.372
angles: 90.00 90.00 90.00
Space group F-43m (No. 216)
Inequivalent atoms, fractional coordinates:
K1 0.000 0.000 0.000 (multiplicity 4)
Pa1 0.250 0.250 0.750 (multiplicity 4)
Sb1 0.250 0.250 0.250 (multiplicity 4)